# 1
# NdHoZrN3, optimized geometry, DFT PBE
# E_form (uncorrected): -1.43 eV/atom
# total magnetization: 0.00 μB/f.u.
# crystal system: monoclinic
# VASP energy: -8.58 eV/atom
data_NdHoZrN3
_symmetry_space_group_name_H-M 'P 1'
_symmetry_Int_Tables_number 1
_symmetry_space_group_name_Hall 'P 1'
_cell_length_a 3.431
_cell_length_b 5.831
_cell_length_c 8.979
_cell_angle_alpha 101.65
_cell_angle_beta 90.00
_cell_angle_gamma 90.00
loop_
_atom_site_label
_atom_site_fract_x
_atom_site_fract_y
_atom_site_fract_z
Zr1 0.250 0.765 0.041
N1 0.750 0.246 0.500
Ho1 0.750 0.854 0.358
N2 0.750 0.034 0.143
Nd1 0.750 0.658 0.699
Nd2 0.250 0.342 0.301
Ho2 0.250 0.146 0.642
N3 0.250 0.754 0.500
N4 0.250 0.452 0.853
N5 0.750 0.548 0.147
Zr2 0.750 0.235 0.959
N6 0.250 0.966 0.857


# 2
# Ho4Ni2N, optimized geometry, DFT PBE
# E_form (uncorrected): -0.57 eV/atom
# total magnetization: 0.00 μB/f.u.
# crystal system: tetragonal
# VASP energy: -6.02 eV/atom
data_Ho4Ni2N
_symmetry_space_group_name_H-M 'P 1'
_symmetry_Int_Tables_number 1
_symmetry_space_group_name_Hall 'P 1'
_cell_length_a 4.646
_cell_length_b 4.646
_cell_length_c 7.504
_cell_angle_alpha 71.97
_cell_angle_beta 71.97
_cell_angle_gamma 90.00
loop_
_atom_site_label
_atom_site_fract_x
_atom_site_fract_y
_atom_site_fract_z
Ho1 0.818 0.818 0.364
Ho2 0.000 0.500 0.000
Ni1 0.377 0.377 0.246
Ni2 0.623 0.623 0.754
Ho3 0.500 0.000 0.000
Ho4 0.182 0.182 0.636
N1 0.000 0.000 0.000


# 3
# Ho6Ni2N, optimized geometry, DFT PBE
# E_form (uncorrected): -0.59 eV/atom
# total magnetization: 0.00 μB/f.u.
# crystal system: monoclinic
# VASP energy: -5.85 eV/atom
data_Ho6Ni2N
_symmetry_space_group_name_H-M 'P 1'
_symmetry_Int_Tables_number 1
_symmetry_space_group_name_Hall 'P 1'
_cell_length_a 6.286
_cell_length_b 6.803
_cell_length_c 9.431
_cell_angle_alpha 90.00
_cell_angle_beta 88.87
_cell_angle_gamma 90.00
loop_
_atom_site_label
_atom_site_fract_x
_atom_site_fract_y
_atom_site_fract_z
Ho1 0.324 0.808 0.938
N1 0.000 0.000 0.500
Ho2 0.824 0.692 0.438
Ni1 0.457 0.093 0.746
Ho3 0.689 0.179 0.439
Ho4 0.124 0.037 0.260
Ho5 0.176 0.308 0.562
Ho6 0.676 0.192 0.062
Ho7 0.376 0.537 0.240
Ho8 0.189 0.321 0.939
Ho9 0.311 0.821 0.561
N2 0.500 0.500 0.000
Ho10 0.624 0.463 0.760
Ni2 0.543 0.907 0.254
Ni3 0.043 0.593 0.754
Ho11 0.811 0.679 0.061
Ni4 0.957 0.407 0.246
Ho12 0.876 0.963 0.740


# 4
# HoPa2NiN5, optimized geometry, DFT PBE
# E_form (uncorrected): -1.10 eV/atom
# total magnetization: 0.00 μB/f.u.
# crystal system: orthorhombic
# VASP energy: -8.99 eV/atom
data_HoPa2NiN5
_symmetry_space_group_name_H-M 'P 1'
_symmetry_Int_Tables_number 1
_symmetry_space_group_name_Hall 'P 1'
_cell_length_a 3.414
_cell_length_b 6.884
_cell_length_c 10.102
_cell_angle_alpha 90.00
_cell_angle_beta 90.00
_cell_angle_gamma 104.36
loop_
_atom_site_label
_atom_site_fract_x
_atom_site_fract_y
_atom_site_fract_z
Pa1 0.103 0.206 0.680
N1 0.627 0.255 0.501
N2 0.954 0.908 0.583
Ni1 0.519 0.038 0.957
Pa2 0.897 0.794 0.180
Ni2 0.481 0.962 0.457
N3 0.720 0.440 0.182
N4 0.280 0.560 0.682
N5 0.046 0.092 0.083
N6 0.518 0.036 0.276
N7 0.342 0.683 0.355
Ho1 0.802 0.604 0.496
Pa3 0.135 0.269 0.295
Pa4 0.865 0.731 0.795
N8 0.482 0.964 0.776
N9 0.658 0.317 0.855
Ho2 0.198 0.396 0.996
N10 0.373 0.745 0.001


# 5
# Ho2PaNiN4, optimized geometry, DFT PBE
# E_form (uncorrected): -1.27 eV/atom
# total magnetization: 0.88 μB/f.u.
# crystal system: orthorhombic
# VASP energy: -8.49 eV/atom
data_Ho2PaNiN4
_symmetry_space_group_name_H-M 'P 1'
_symmetry_Int_Tables_number 1
_symmetry_space_group_name_Hall 'P 1'
_cell_length_a 3.348
_cell_length_b 5.792
_cell_length_c 11.467
_cell_angle_alpha 90.00
_cell_angle_beta 90.00
_cell_angle_gamma 106.80
loop_
_atom_site_label
_atom_site_fract_x
_atom_site_fract_y
_atom_site_fract_z
Ho1 0.370 0.741 0.944
N1 0.718 0.435 0.868
Ni1 0.151 0.301 0.250
N2 0.718 0.435 0.632
N3 0.282 0.565 0.132
N4 0.000 0.000 0.500
N5 0.000 0.000 0.000
N6 0.460 0.920 0.750
Ho2 0.630 0.259 0.444
Ho3 0.630 0.259 0.056
Ni2 0.849 0.699 0.750
Ho4 0.370 0.741 0.556
Pa1 0.888 0.775 0.250
N7 0.540 0.080 0.250
Pa2 0.112 0.225 0.750
N8 0.282 0.565 0.368


# 6
# HoPu2NiN4, optimized geometry, DFT PBE
# E_form (uncorrected): -1.04 eV/atom
# total magnetization: 7.00 μB/f.u.
# crystal system: orthorhombic
# VASP energy: -10.08 eV/atom
data_HoPu2NiN4
_symmetry_space_group_name_H-M 'P 1'
_symmetry_Int_Tables_number 1
_symmetry_space_group_name_Hall 'P 1'
_cell_length_a 3.397
_cell_length_b 5.781
_cell_length_c 11.394
_cell_angle_alpha 90.00
_cell_angle_beta 90.00
_cell_angle_gamma 107.09
loop_
_atom_site_label
_atom_site_fract_x
_atom_site_fract_y
_atom_site_fract_z
Ni1 0.158 0.316 0.250
N1 0.000 0.000 0.500
N2 0.732 0.465 0.885
N3 0.732 0.465 0.615
N4 0.549 0.097 0.250
N5 0.268 0.535 0.115
Pu1 0.370 0.740 0.942
Ho1 0.106 0.213 0.750
Ni2 0.842 0.684 0.750
N6 0.000 0.000 0.000
N7 0.451 0.903 0.750
Ho2 0.894 0.787 0.250
N8 0.268 0.535 0.385
Pu2 0.370 0.740 0.558
Pu3 0.630 0.260 0.442
Pu4 0.630 0.260 0.058


# 7
# HoSiNiN, optimized geometry, DFT PBE
# E_form (uncorrected): -1.13 eV/atom
# total magnetization: 0.00 μB/f.u.
# crystal system: tetragonal
# VASP energy: -7.16 eV/atom
data_HoSiNiN
_symmetry_space_group_name_H-M 'P 1'
_symmetry_Int_Tables_number 1
_symmetry_space_group_name_Hall 'P 1'
_cell_length_a 3.628
_cell_length_b 3.628
_cell_length_c 8.249
_cell_angle_alpha 90.00
_cell_angle_beta 90.00
_cell_angle_gamma 90.00
loop_
_atom_site_label
_atom_site_fract_x
_atom_site_fract_y
_atom_site_fract_z
Si1 0.500 0.000 0.663
Ho1 0.500 0.000 0.152
Ni1 0.000 0.000 0.500
N1 0.500 0.000 0.877
N2 0.000 0.500 0.123
Ni2 0.500 0.500 0.500
Ho2 0.000 0.500 0.848
Si2 0.000 0.500 0.337


# 8
# HoZr2NiN4, optimized geometry, DFT PBE
# E_form (uncorrected): -1.28 eV/atom
# total magnetization: 0.00 μB/f.u.
# crystal system: orthorhombic
# VASP energy: -8.87 eV/atom
data_HoZr2NiN4
_symmetry_space_group_name_H-M 'P 1'
_symmetry_Int_Tables_number 1
_symmetry_space_group_name_Hall 'P 1'
_cell_length_a 3.224
_cell_length_b 5.682
_cell_length_c 11.105
_cell_angle_alpha 90.00
_cell_angle_beta 90.00
_cell_angle_gamma 106.48
loop_
_atom_site_label
_atom_site_fract_x
_atom_site_fract_y
_atom_site_fract_z
Ho1 0.112 0.224 0.750
N1 0.271 0.542 0.117
N2 0.000 0.000 0.500
N3 0.000 0.000 0.000
Ni1 0.849 0.698 0.750
Zr1 0.632 0.264 0.444
Zr2 0.632 0.264 0.056
N4 0.729 0.458 0.617
N5 0.452 0.904 0.750
N6 0.271 0.542 0.383
N7 0.729 0.458 0.883
Ho2 0.888 0.776 0.250
Ni2 0.151 0.302 0.250
Zr3 0.368 0.736 0.556
N8 0.548 0.096 0.250
Zr4 0.368 0.736 0.944


# 9
# HoNpN2, optimized geometry, DFT PBE
# E_form (uncorrected): -1.19 eV/atom
# total magnetization: 3.86 μB/f.u.
# crystal system: trigonal
# VASP energy: -9.73 eV/atom
data_HoNpN2
_symmetry_space_group_name_H-M 'P 1'
_symmetry_Int_Tables_number 1
_symmetry_space_group_name_Hall 'P 1'
_cell_length_a 3.360
_cell_length_b 3.360
_cell_length_c 6.319
_cell_angle_alpha 74.58
_cell_angle_beta 74.58
_cell_angle_gamma 60.00
loop_
_atom_site_label
_atom_site_fract_x
_atom_site_fract_y
_atom_site_fract_z
Np1 0.499 0.499 0.504
N1 0.081 0.081 0.758
Ho1 0.670 0.670 0.989
N2 0.251 0.251 0.248


# 10
# HoNp3N4, optimized geometry, DFT PBE
# E_form (uncorrected): -1.26 eV/atom
# total magnetization: 10.04 μB/f.u.
# crystal system: tetragonal
# VASP energy: -10.85 eV/atom
data_HoNp3N4
_symmetry_space_group_name_H-M 'P 1'
_symmetry_Int_Tables_number 1
_symmetry_space_group_name_Hall 'P 1'
_cell_length_a 4.881
_cell_length_b 4.881
_cell_length_c 5.974
_cell_angle_alpha 114.11
_cell_angle_beta 114.11
_cell_angle_gamma 90.00
loop_
_atom_site_label
_atom_site_fract_x
_atom_site_fract_y
_atom_site_fract_z
Ho1 0.000 0.000 0.000
N1 0.500 0.000 0.000
Np1 0.250 0.750 0.500
N2 0.253 0.253 0.505
N3 0.747 0.747 0.495
N4 0.000 0.500 0.000
Np2 0.750 0.250 0.500
Np3 0.500 0.500 0.000


# 11
# Ho3NpN4, optimized geometry, DFT PBE
# E_form (uncorrected): -1.58 eV/atom
# total magnetization: 3.06 μB/f.u.
# crystal system: orthorhombic
# VASP energy: -9.08 eV/atom
data_Ho3NpN4
_symmetry_space_group_name_H-M 'P 1'
_symmetry_Int_Tables_number 1
_symmetry_space_group_name_Hall 'P 1'
_cell_length_a 3.446
_cell_length_b 5.950
_cell_length_c 5.950
_cell_angle_alpha 109.02
_cell_angle_beta 90.00
_cell_angle_gamma 90.00
loop_
_atom_site_label
_atom_site_fract_x
_atom_site_fract_y
_atom_site_fract_z
N1 0.000 0.244 0.244
N2 0.500 0.759 0.241
N3 0.000 0.756 0.756
Ho1 0.500 0.500 0.500
N4 0.500 0.241 0.759
Np1 0.500 0.000 0.000
Ho2 0.000 0.500 0.000
Ho3 0.000 0.000 0.500


# 12
# Ho4NpN4, optimized geometry, DFT PBE
# E_form (uncorrected): -0.79 eV/atom
# total magnetization: 1.52 μB/f.u.
# crystal system: tetragonal
# VASP energy: -7.96 eV/atom
data_Ho4NpN4
_symmetry_space_group_name_H-M 'P 1'
_symmetry_Int_Tables_number 1
_symmetry_space_group_name_Hall 'P 1'
_cell_length_a 5.601
_cell_length_b 5.601
_cell_length_c 6.695
_cell_angle_alpha 114.73
_cell_angle_beta 114.73
_cell_angle_gamma 90.00
loop_
_atom_site_label
_atom_site_fract_x
_atom_site_fract_y
_atom_site_fract_z
Ho1 0.000 0.500 0.000
Np1 0.000 0.000 0.000
Ho2 0.717 0.717 0.433
N1 0.350 0.896 0.246
Ho3 0.283 0.283 0.567
N2 0.650 0.650 0.754
N3 0.896 0.350 0.246
N4 0.104 0.104 0.754
Ho4 0.500 0.000 0.000